## CrNiH4 (PBE)

Data for a geometry-optimized CrNiH4 structure.

abc: 2.957 2.957 4.115
angles: 90.00 90.00 90.00
Space group P4/mmm (No. 123)
One atom of each set of equivalent atoms:
Cr 0.000 0.000 0.000 [1 per cell]
Ni 0.500 0.500 0.500 [1 per cell]
H 0.000 0.500 0.257 [4 per cell]

Computed properties:
Total moment: 2.8 μB/f.u.
Uncorrected energy: -4.752 eV/atom
D(E_F): 0.26 states/eV/atom